! PBE SrTe2Pt2, optimized geometry; values from VASP
! - theoretical density (g cm⁻³) = 9.6
! - energy relative to the elements, uncorrected (eV per atom) = -0.549
&SYSTEM
  ibrav = 0, nat = 5, ntyp = 3
/
ATOMIC_SPECIES
Sr 87.62 Sr.upf
Te 127.60 Te.upf
Pt 195.08 Pt.upf
ATOMIC_POSITIONS crystal
Sr 0.0000 0.0000 0.0000
Te 0.3706 0.3706 0.0000
Te 0.6294 0.6294 0.0000
Pt 0.2500 0.7500 0.5000
Pt 0.7500 0.2500 0.5000
CELL_PARAMETERS angstrom
-2.2440 2.2440 6.2968
2.2440 -2.2440 6.2968
2.2440 2.2440 -6.2968

***

! PBE SrTe2Pt, optimized geometry; values from VASP
! - excess energy over the best structure of this formula in the dataset (meV/atom) = 619
! - theoretical density (g cm⁻³) = 8.5
! - energy relative to the elements, uncorrected (eV per atom) = -0.313
&SYSTEM
  ibrav = 0, nat = 4, ntyp = 3
/
ATOMIC_SPECIES
Sr 87.62 Sr.upf
Te 127.60 Te.upf
Pt 195.08 Pt.upf
ATOMIC_POSITIONS crystal
Sr 0.0000 0.0000 0.0000
Te 0.2500 0.2500 0.2500
Te 0.7500 0.7500 0.7500
Pt 0.5000 0.5000 0.5000
CELL_PARAMETERS angstrom
0.0000 3.7431 3.7431
3.7431 0.0000 3.7431
3.7431 3.7431 0.0000

***

! PBE Sr2TePt2, optimized geometry; values from VASP
! - excess energy over the best structure of this formula in the dataset (meV/atom) = 42
! - theoretical density (g cm⁻³) = 8.9
! - energy relative to the elements, uncorrected (eV per atom) = -0.863
&SYSTEM
  ibrav = 0, nat = 10, ntyp = 3
/
ATOMIC_SPECIES
Sr 87.62 Sr.upf
Te 127.60 Te.upf
Pt 195.08 Pt.upf
ATOMIC_POSITIONS crystal
Sr 0.1767 0.3233 0.0000
Sr 0.3233 0.8233 0.0000
Sr 0.6767 0.1767 0.0000
Sr 0.8233 0.6767 0.0000
Te 0.0000 0.0000 0.5000
Te 0.5000 0.5000 0.5000
Pt 0.1229 0.6229 0.5000
Pt 0.3771 0.1229 0.5000
Pt 0.6229 0.8771 0.5000
Pt 0.8771 0.3771 0.5000
CELL_PARAMETERS angstrom
7.7570 0.0000 0.0000
0.0000 7.7570 0.0000
0.0000 0.0000 4.3211

***

! PBE SrTe2Pt, optimized geometry; values from VASP
! - excess energy over the best structure of this formula in the dataset (meV/atom) = 430
! - theoretical density (g cm⁻³) = 8.8
! - energy relative to the elements, uncorrected (eV per atom) = -0.502
&SYSTEM
  ibrav = 0, nat = 4, ntyp = 3
/
ATOMIC_SPECIES
Sr 87.62 Sr.upf
Te 127.60 Te.upf
Pt 195.08 Pt.upf
ATOMIC_POSITIONS crystal
Sr 0.0000 0.0000 0.0000
Te 0.0000 0.5000 0.5000
Te 0.5000 0.0000 0.5000
Pt 0.5000 0.5000 0.0000
CELL_PARAMETERS angstrom
5.0967 0.0000 0.0000
0.0000 5.0967 0.0000
0.0000 0.0000 3.9215

***

! PBE SrTePt, optimized geometry; values from VASP
! - excess energy over the best structure of this formula in the dataset (meV/atom) = 468
! - theoretical density (g cm⁻³) = 8.0
! - energy relative to the elements, uncorrected (eV per atom) = -0.631
&SYSTEM
  ibrav = 0, nat = 6, ntyp = 3
/
ATOMIC_SPECIES
Sr 87.62 Sr.upf
Te 127.60 Te.upf
Pt 195.08 Pt.upf
ATOMIC_POSITIONS crystal
Sr 0.2500 0.2500 0.1493
Sr 0.7500 0.7500 0.8507
Te 0.2500 0.7500 0.5000
Te 0.7500 0.2500 0.5000
Pt 0.2500 0.2500 0.6677
Pt 0.7500 0.7500 0.3323
CELL_PARAMETERS angstrom
5.1439 0.0000 0.0000
0.0000 5.1439 0.0000
0.0000 0.0000 6.4621

***

! PBE SrTePt, optimized geometry; values from VASP
! - excess energy over the best structure of this formula in the dataset (meV/atom) = 0
! - theoretical density (g cm⁻³) = 8.4
! - energy relative to the elements, uncorrected (eV per atom) = -1.099
&SYSTEM
  ibrav = 0, nat = 6, ntyp = 3
/
ATOMIC_SPECIES
Sr 87.62 Sr.upf
Te 127.60 Te.upf
Pt 195.08 Pt.upf
ATOMIC_POSITIONS crystal
Sr 0.0000 0.0000 0.0000
Sr 0.0000 0.0000 0.5000
Te 0.3333 0.6667 0.2500
Te 0.6667 0.3333 0.7500
Pt 0.3333 0.6667 0.7500
Pt 0.6667 0.3333 0.2500
CELL_PARAMETERS angstrom
4.6330 0.0000 0.0000
-2.3165 4.0123 0.0000
0.0000 0.0000 8.7217

***

| no. | electronic total energy (eV per cell) | DOS(E_F) (states/eV/f.u.) |
| --- | --- | --- |
| 1 | -22.8 | 2.54 |
| 2 | -15.3 | 4.95 |
| 3 | -45.8 | 1.19 |
| 4 | -16.0 | 2.65 |
| 5 | -25.5 | 1.42 |
| 6 | -28.3 | 0.00 |